No. 1
Density functional theory data (PBE) for crystalline NaTlS2 at its relaxed geometry.

Calculated values
Magnetization (μB per atom): 0.00
VASP energy (eV/atom): -3.50
E_form (uncorrected) (eV per atom): -0.52

Geometry as CIF:
```
data_NaTlS2
_cell_length_a 6.9970
_cell_length_b 4.0696
_cell_length_c 16.2768
_cell_angle_alpha 90.00
_cell_angle_beta 90.00
_cell_angle_gamma 90.00
_symmetry_space_group_name_H-M 'P 1'
_symmetry_Int_Tables_number 1
_symmetry_space_group_name_Hall 'P 1'
loop_
_atom_site_label
_atom_site_fract_x
_atom_site_fract_y
_atom_site_fract_z
Na1 0.0530 0.2500 0.1986
Na2 0.4470 0.7500 0.6986
Na3 0.5530 0.2500 0.3014
Na4 0.9470 0.7500 0.8014
Tl1 0.0430 0.7500 0.4036
Tl2 0.4570 0.2500 0.9036
Tl3 0.5430 0.7500 0.0964
Tl4 0.9570 0.2500 0.5964
S1 0.1799 0.7500 0.5615
S2 0.2309 0.2500 0.7905
S3 0.2691 0.7500 0.2905
S4 0.3201 0.2500 0.0615
S5 0.6799 0.7500 0.9385
S6 0.7309 0.2500 0.7095
S7 0.7691 0.7500 0.2095
S8 0.8201 0.2500 0.4385
```

***

No. 2
Density functional theory data (PBE) for crystalline Tc2TeOs at its relaxed geometry.

Calculated values
Magnetization (μB per atom): 0.00
VASP energy (eV/atom): -8.12
E_form (uncorrected) (eV per atom): 0.66
Distance to the lowest polymorph of the same formula (eV per atom): 0.241

Geometry as CIF:
```
data_Tc2TeOs
_cell_length_a 4.5038
_cell_length_b 4.5038
_cell_length_c 4.5038
_cell_angle_alpha 60.00
_cell_angle_beta 60.00
_cell_angle_gamma 60.00
_symmetry_space_group_name_H-M 'P 1'
_symmetry_Int_Tables_number 1
_symmetry_space_group_name_Hall 'P 1'
loop_
_atom_site_label
_atom_site_fract_x
_atom_site_fract_y
_atom_site_fract_z
Tc1 0.0000 0.0000 0.0000
Tc2 0.2500 0.2500 0.2500
Te1 0.7500 0.7500 0.7500
Os1 0.5000 0.5000 0.5000
```

***

No. 3
Density functional theory data (PBE) for crystalline La2CrCo at its relaxed geometry.

Calculated values
Magnetization (μB per atom): 0.47
VASP energy (eV/atom): -6.44
Distance to the lowest polymorph of the same formula (eV per atom): 0.000
E_form (meV per atom): 203

Geometry as CIF:
```
data_La2CrCo
_cell_length_a 4.1944
_cell_length_b 5.4387
_cell_length_c 5.4387
_cell_angle_alpha 51.71
_cell_angle_beta 90.00
_cell_angle_gamma 90.00
_symmetry_space_group_name_H-M 'P 1'
_symmetry_Int_Tables_number 1
_symmetry_space_group_name_Hall 'P 1'
loop_
_atom_site_label
_atom_site_fract_x
_atom_site_fract_y
_atom_site_fract_z
La1 0.0000 0.0000 0.0000
La2 0.5000 0.3113 0.3113
Cr1 0.5000 0.6236 0.6236
Co1 0.0000 0.7001 0.7001
```

***

No. 4
Density functional theory data (PBE) for crystalline Ho2AlIr at its relaxed geometry.

Calculated values
Magnetization (μB per atom): 0.00
VASP energy (eV/atom): -6.09
E_form (meV per atom): -650

Geometry as CIF:
```
data_Ho2AlIr
_cell_length_a 3.5316
_cell_length_b 3.5316
_cell_length_c 6.8893
_cell_angle_alpha 90.00
_cell_angle_beta 90.00
_cell_angle_gamma 90.00
_symmetry_space_group_name_H-M 'P 1'
_symmetry_Int_Tables_number 1
_symmetry_space_group_name_Hall 'P 1'
loop_
_atom_site_label
_atom_site_fract_x
_atom_site_fract_y
_atom_site_fract_z
Ho1 0.0000 0.0000 0.2316
Ho2 0.0000 0.0000 0.7684
Al1 0.5000 0.5000 0.5000
Ir1 0.5000 0.5000 0.0000
```

***

No. 5
Density functional theory data (PBE) for crystalline BaCa2Ir2 at its relaxed geometry.

Calculated values
Magnetization (μB per atom): 0.00
VASP energy (eV/atom): -4.87
Distance to the lowest polymorph of the same formula (eV per atom): 0.000
E_form (meV per atom): -137

Geometry as CIF:
```
data_BaCa2Ir2
_cell_length_a 6.9522
_cell_length_b 6.9522
_cell_length_c 6.9522
_cell_angle_alpha 140.06
_cell_angle_beta 140.06
_cell_angle_gamma 57.76
_symmetry_space_group_name_H-M 'P 1'
_symmetry_Int_Tables_number 1
_symmetry_space_group_name_Hall 'P 1'
loop_
_atom_site_label
_atom_site_fract_x
_atom_site_fract_y
_atom_site_fract_z
Ba1 0.0000 0.0000 0.0000
Ca1 0.2500 0.7500 0.5000
Ca2 0.7500 0.2500 0.5000
Ir1 0.3967 0.3967 0.0000
Ir2 0.6033 0.6033 0.0000
```

***

No. 6
Density functional theory data (PBE) for crystalline Ho2LuP at its relaxed geometry.

Calculated values
Magnetization (μB per atom): 0.00
VASP energy (eV/atom): -5.24
E_form (meV per atom): -469

Geometry as CIF:
```
data_Ho2LuP
_cell_length_a 10.1672
_cell_length_b 10.1672
_cell_length_c 10.1672
_cell_angle_alpha 21.01
_cell_angle_beta 21.01
_cell_angle_gamma 21.01
_symmetry_space_group_name_H-M 'P 1'
_symmetry_Int_Tables_number 1
_symmetry_space_group_name_Hall 'P 1'
loop_
_atom_site_label
_atom_site_fract_x
_atom_site_fract_y
_atom_site_fract_z
Ho1 0.1122 0.1122 0.1122
Ho2 0.8878 0.8878 0.8878
Lu1 0.0000 0.0000 0.0000
P1 0.5000 0.5000 0.5000
```